The following is a meta-GGA SCAN calculation of Ce5Sn3 at its PBEsol-relaxed geometry, from the Alexandria database.

Lattice parameters (Å, degrees): 9.257 9.257 6.099 90.00 90.00 120.00
Atoms (fractional coordinates):
Ce  0.000  0.248  0.250
Ce  0.000  0.752  0.750
Ce  0.248  0.000  0.250
Ce  0.248  0.248  0.750
Ce  0.333  0.667  0.000
Ce  0.333  0.667  0.500
Ce  0.667  0.333  0.000
Ce  0.667  0.333  0.500
Ce  0.752  0.000  0.750
Ce  0.752  0.752  0.250
Sn  0.000  0.389  0.750
Sn  0.000  0.611  0.250
Sn  0.389  0.000  0.750
Sn  0.389  0.389  0.250
Sn  0.611  0.000  0.250
Sn  0.611  0.611  0.750

Results
Energy relative to the lowest polymorph listed for this composition: 37 meV per atom
Fermi-level density of states: 31.255 states/eV per cell
ΔE_f: -619 meV/atom
Electronic total energy: -41.942 eV/atom
Total magnetic moment: 13.173 μB per cell